CePr4O10: optimized geometry, GGA-PBEsol.

## Properties
The energy above the most stable polymorph in this dataset is 4 meV/atom. The value obtained for the electronic total energy is -362.95 eV/cell. Its spin magnetization is 12.2 μB per cell. As for the energy relative to the elements, uncorrected: -2.744 eV/atom.

abc: 3.9597 3.9597 48.3262
angles: 90.00 90.00 120.00
Closest atoms and distances in Å follow each position.
Space group R-3m (No. 166, hexagonal axes)
One atom of each set of equivalent atoms:
1 Ce 0.0000 0.0000 0.0000  8 O 2.25-2.38
2 Pr 0.0000 0.0000 0.2009  8 O 2.42-2.46
3 Pr 0.0000 0.0000 0.3980  8 O 2.44-2.47
4 O 0.0000 0.0000 0.0465  1 Ce 2.25, 3 Pr 2.45
5 O 0.0000 0.0000 0.1500  4 Pr 2.44-2.46
6 O 0.0000 0.0000 0.2512  4 Pr 2.43-2.44
7 O 0.0000 0.0000 0.3471  3 Ce 2.38, 1 Pr 2.46, 3 O 2.65
8 O 0.0000 0.0000 0.4491  4 Pr 2.42-2.47